[1]
SeSO3 after structural relaxation, computed with PBE-GGA.

Mass density in g cm⁻³: 4.92
Magnetic moment in μB per formula unit: 0.00
E_form (uncorrected) in eV/atom: 0.494
Uncorrected energy in eV per atom: -4.004
Space group: Pm-3m

abc: 3.773 3.773 3.773
angles: 90.00 90.00 90.00
Sites, in units of the cell vectors:
1 Se 0.000 0.000 0.000
2 S 0.500 0.500 0.500
3 O 0.000 0.500 0.500
4 O 0.500 0.000 0.500
5 O 0.500 0.500 0.000

[2]
Ac2Si2F after structural relaxation, computed with PBE-GGA.

Mass density in g cm⁻³: 6.68
Magnetic moment in μB per formula unit: 0.00
E_form (uncorrected) in eV/atom: -1.322
Uncorrected energy in eV per atom: -5.509
Offset from the most stable computed form in kJ/mol of formula units: 20
Space group: C2/c

abc: 7.388 7.388 6.394
angles: 101.05 101.05 50.49
Sites, in units of the cell vectors:
1 Ac 0.103 0.665 0.937
2 Ac 0.335 0.897 0.563
3 Ac 0.665 0.103 0.437
4 Ac 0.897 0.335 0.063
5 Si 0.111 0.528 0.419
6 Si 0.472 0.889 0.081
7 Si 0.528 0.111 0.919
8 Si 0.889 0.472 0.581
9 F 0.014 0.986 0.250
10 F 0.986 0.014 0.750